# 1
DFT (PBE) results for BaMgFe2Au after structural relaxation.

The structure belongs to space group P4/mmm (No. 123); the cell edges are 4.926, 4.926 and 5.883 Å and the angles 90.00°, 90.00° and 90.00°. The asymmetric unit holds Ba at (0.000, 0.000, 0.000), Mg at (0.000, 0.000, 0.500), Fe at (0.000, 0.500, 0.000) and Au at (0.500, 0.500, 0.500).

The electronic total energy comes out at -0.204 Ry per atom. The calculation puts the mass density at 5.47 g cm⁻³.


# 2
DFT (PBE) results for HfZnH3 after structural relaxation.

The structure belongs to space group Pm-3m (No. 221); the cell edges are 3.525, 3.525 and 3.525 Å and the angles 90.00°, 90.00° and 90.00°. The asymmetric unit holds Hf at (0.000, 0.000, 0.000), Zn at (0.500, 0.500, 0.500) and H at (0.000, 0.500, 0.500).

The electronic total energy comes out at -0.287 Ry per atom. The calculation puts the mass density at 9.36 g cm⁻³.